First-principles (PBE) data for TmCo5Si3 after structural relaxation, as listed in Alexandria via LeMat-Bulk.

Computed properties:
The total DFT energy (no corrections) comes out at -6.78 eV/atom. The calculation puts the energy relative to the elements, uncorrected at -532.1 meV/atom.

a b c (Å): 3.685 11.685 11.138
angles (deg): 90.00 90.00 90.00
Space group Cmcm (No. 63)
Inequivalent atoms, fractional coordinates:
Tm (0.000, 0.170, 0.250) x4
Co (0.000, 0.000, 0.000) x4
Co (0.000, 0.194, 0.566) x8
Co (0.000, 0.450, 0.145) x8
Si (0.000, 0.110, 0.750) x4
Si (0.000, 0.380, 0.544) x8

=====

First-principles (PBE) data for TlZnCr4 after structural relaxation, as listed in Alexandria via LeMat-Bulk.

Computed properties:
The total DFT energy (no corrections) comes out at -6.44 eV/atom. The value obtained for the formation enthalpy at 0 K is 0.585 eV per atom.

a b c (Å): 6.983 6.983 6.983
angles (deg): 90.00 90.00 90.00
Space group F-43m (No. 216)
Inequivalent atoms, fractional coordinates:
Tl (0.000, 0.000, 0.000) x4
Zn (0.250, 0.250, 0.750) x4
Cr (0.122, 0.122, 0.378) x16

=====

Q: What is the formula in the second record?
A: TlZnCr4

=====

Q: What is the total DFT energy (no corrections) in the second record?
A: -6.44 eV/atom

=====

Q: Which value of total DFT energy (no corrections) does entry 2 give?
A: -6.44 eV/atom